a) 4
Lattice="-0.280 -2.704 0.868 -0.396 -0.827 -2.703 8.573 -1.176 -0.897" Properties=species:S:1:pos:R:3 comment="TiNbAg2, optimized geometry, DFT PBE-GGA" magnetic_moment_mub_per_fu=0.00 n_ef_per_ev_cell=2.80 spacegroup="No. 99" mass_density_g_cm3=8.35 pbc="T T T"
Ti 4.300 -0.590 -0.450
Nb 6.027 -2.639 -1.583
Ag 0.017 -0.002 -0.002
Ag 1.839 -2.064 -1.145

***

b) 4
Lattice="3.355 0.038 3.236 -0.389 -2.682 3.793 2.773 -3.710 0.526" Properties=species:S:1:pos:R:3 comment="TiNbAg2, optimized geometry, DFT PBE-GGA" magnetic_moment_mub_per_fu=0.00 n_ef_per_ev_cell=3.79 spacegroup="No. 225" mass_density_g_cm3=8.27 pbc="T T T"
Nb 2.869 -3.177 3.777
Ti 0.000 0.000 0.000
Ag 4.304 -4.765 5.666
Ag 1.435 -1.588 1.889

***

c) 8
Lattice="7.561 0.000 0.000 0.000 7.561 0.000 3.780 3.780 2.632" Properties=species:S:1:pos:R:3 comment="TiNbAg2, optimized geometry, DFT PBE-GGA" magnetic_moment_mub_per_fu=0.00 n_ef_per_ev_cell=8.68 spacegroup="No. 122" mass_density_g_cm3=7.87 pbc="T T T"
Nb 0.000 0.000 0.000
Nb 7.561 3.780 1.316
Ag 5.576 1.890 0.658
Ag 9.451 9.356 1.974
Ag 5.671 5.765 1.974
Ag 1.985 5.671 0.658
Ti 3.780 7.561 1.316
Ti 3.780 3.780 0.000

***

Most stable: a) (next structure +0.331 eV/atom)

***

a) 5
Lattice="4.661 0.000 0.000 0.000 5.066 0.000 0.000 0.000 4.661" Properties=species:S:1:pos:R:3 comment="ZrTi2NbAg, optimized geometry, DFT PBE-GGA" magnetic_moment_mub_per_fu=0.68 n_ef_per_ev_cell=6.76 spacegroup="No. 123" mass_density_g_cm3=5.85 pbc="T T T"
Ag 0.000 2.533 0.000
Zr 0.000 0.000 0.000
Nb 2.330 2.533 2.330
Ti 2.330 0.000 0.000
Ti 0.000 0.000 2.330

***

b) 5
Lattice="-0.187 0.657 -4.755 -2.498 -4.230 -0.486 -4.139 2.387 0.493" Properties=species:S:1:pos:R:3 comment="ZrTi2NbAg, optimized geometry, DFT PBE-GGA" magnetic_moment_mub_per_fu=1.70 n_ef_per_ev_cell=7.87 spacegroup="No. 123" mass_density_g_cm3=5.65 pbc="T T T"
Ti -2.069 1.194 0.247
Ti -0.094 0.329 -2.377
Ag -3.412 -0.593 -2.374
Nb -1.249 -2.115 -0.243
Zr 0.000 0.000 0.000

***

Most stable: b) (next structure +0.032 eV/atom)

***

a) 4
Lattice="2.196 2.349 3.807 -1.837 4.328 1.651 -2.264 0.217 4.434" Properties=species:S:1:pos:R:3 comment="NbTl2Ag, optimized geometry, DFT PBE-GGA" magnetic_moment_mub_per_fu=1.97 n_ef_per_ev_cell=1.86 spacegroup="No. 225" mass_density_g_cm3=11.57 pbc="T T T"
Ag -0.953 3.447 4.946
Tl -1.429 5.170 7.419
Tl -0.476 1.723 2.473
Nb 0.000 0.000 0.000

***

b) 8
Lattice="-3.037 1.770 -2.597 1.262 -2.621 -3.262 -7.486 -7.340 0.073" Properties=species:S:1:pos:R:3 comment="NbTl2Ag, optimized geometry, DFT PBE-GGA" magnetic_moment_mub_per_fu=0.58 n_ef_per_ev_cell=5.73 spacegroup="No. 122" mass_density_g_cm3=10.58 pbc="T T T"
Ag 0.000 0.000 0.000
Ag -5.705 -2.997 -2.727
Tl -7.174 -6.235 -5.055
Tl -6.274 -5.838 -2.160
Tl -1.478 -3.242 -2.359
Tl -3.596 -1.065 -1.999
Nb -3.556 -5.193 -3.059
Nb -0.887 -0.425 -2.930

***

Most stable: a) (next structure +0.134 eV/atom)

***

a) 10
Lattice="-4.502 0.951 -5.233 4.412 -3.162 -4.370 -1.467 -3.029 0.711" Properties=species:S:1:pos:R:3 comment="Nb2V2Ag, optimized geometry, DFT PBE-GGA" magnetic_moment_mub_per_fu=0.00 n_ef_per_ev_cell=9.40 spacegroup="No. 127" mass_density_g_cm3=7.86 pbc="T T T"
Nb 1.457 -3.483 -3.512
Nb -0.134 -3.481 -6.783
Nb -3.014 -1.757 -5.381
Nb -1.423 -1.760 -2.110
Ag -0.045 -1.105 -4.802
Ag 0.000 0.000 0.000
V -1.222 -1.125 -7.315
V 2.172 -2.420 -5.830
V 1.132 -1.085 -2.289
V -2.262 0.209 -3.774

***

b) 5
Lattice="3.586 0.000 0.000 0.000 3.586 0.000 1.793 1.793 6.944" Properties=species:S:1:pos:R:3 comment="Nb2V2Ag, optimized geometry, DFT PBE-GGA" magnetic_moment_mub_per_fu=0.00 n_ef_per_ev_cell=5.27 spacegroup="No. 139" mass_density_g_cm3=7.36 pbc="T T T"
V 1.793 3.586 3.472
V 3.586 1.793 3.472
Nb 3.586 3.586 5.451
Nb 1.793 1.793 1.493
Ag 0.000 0.000 0.000

***

c) 10
Lattice="-0.123 4.747 -5.609 -6.266 -2.998 -2.401 -1.674 2.067 1.786" Properties=species:S:1:pos:R:3 comment="Nb2V2Ag, optimized geometry, DFT PBE-GGA" magnetic_moment_mub_per_fu=0.00 n_ef_per_ev_cell=12.69 spacegroup="No. 127" mass_density_g_cm3=7.59 pbc="T T T"
V -3.156 4.025 -4.742
V -1.799 2.272 -1.441
V -6.264 1.545 -4.783
V -4.907 -0.209 -1.482
Nb -0.975 2.624 -3.951
Nb -2.254 -0.391 -1.659
Nb -4.135 2.140 -6.351
Nb -5.414 -0.875 -4.059
Ag -3.195 0.874 -4.005
Ag 0.000 0.000 0.000

***

Most stable: a) (next structure +0.210 eV/atom)

***

a) 4
Lattice="0.000 3.267 3.267 3.267 0.000 3.267 3.267 3.267 0.000" Properties=species:S:1:pos:R:3 comment="NbAg2W, optimized geometry, DFT PBE-GGA" magnetic_moment_mub_per_fu=0.00 n_ef_per_ev_cell=6.99 spacegroup="No. 225" mass_density_g_cm3=11.73 pbc="T T T"
W 3.267 3.267 3.267
Ag 1.633 1.633 1.633
Ag 4.900 4.900 4.900
Nb 0.000 0.000 0.000

***

b) 8
Lattice="-6.792 3.295 0.350 -1.089 -1.465 -7.334 -5.028 -1.394 -2.869" Properties=species:S:1:pos:R:3 comment="NbAg2W, optimized geometry, DFT PBE-GGA" magnetic_moment_mub_per_fu=0.00 n_ef_per_ev_cell=5.44 spacegroup="No. 122" mass_density_g_cm3=10.90 pbc="T T T"
Ag -5.706 1.560 -1.412
Ag -6.716 -0.345 -4.698
Ag -10.678 0.541 -8.334
Ag -2.720 -0.885 -5.260
W -7.881 1.408 -3.005
W 0.000 0.000 0.000
Nb -3.941 0.915 -3.492
Nb -5.029 -0.972 -6.847

***

Most stable: a) (next structure +0.186 eV/atom)

***

a) 4
Lattice="0.482 -1.793 4.474 -2.445 1.984 3.681 -3.667 -2.410 2.051" Properties=species:S:1:pos:R:3 comment="YNb2Ag, optimized geometry, DFT PBE-GGA" magnetic_moment_mub_per_fu=0.00 n_ef_per_ev_cell=2.67 spacegroup="No. 225" mass_density_g_cm3=7.91 pbc="T T T"
Nb -1.407 -0.555 2.551
Nb -4.222 -1.665 7.654
Ag -2.815 -1.110 5.102
Y 0.000 0.000 0.000

***

b) 8
Lattice="4.001 0.000 0.000 0.000 4.001 0.000 2.001 2.001 10.895" Properties=species:S:1:pos:R:3 comment="YNb2Ag, optimized geometry, DFT PBE-GGA" magnetic_moment_mub_per_fu=0.00 n_ef_per_ev_cell=7.94 spacegroup="No. 122" mass_density_g_cm3=7.29 pbc="T T T"
Ag 0.000 0.000 0.000
Ag 4.001 2.001 5.447
Y 2.001 2.001 0.000
Y 2.001 4.001 5.447
Nb 0.985 3.001 2.724
Nb 3.016 1.000 2.724
Nb 5.001 5.017 8.171
Nb 3.001 2.985 8.171

***

Most stable: b) (next structure +0.072 eV/atom)